Crystalline Sn3Hg12S5 at its relaxed geometry, computed with GGA-PBE.

Summary:
density of states at the Fermi level: 75.707 states/eV per cell
total magnetization: 0.00 μB per formula unit
crystal system: cubic
energy relative to the elements, uncorrected: 1.8 eV per formula unit

abc: 16.5179 16.5179 16.5179
angles: 90.00 90.00 90.00
With the nearest neighbours (Å) after each atom.
Space group Ia-3d (No. 230)
Unique sites:
Sn (0.0000, 0.2500, 0.1250) (multiplicity 24)  8 Hg 2.95-3.17
Hg (0.0227, 0.0753, 0.6531) (multiplicity 96)  2 S 2.64-2.84, 1 Sn 2.95
S (0.0000, 0.0000, 0.0000) (multiplicity 16)  6 Hg 2.84
S (0.0000, 0.2500, 0.3750) (multiplicity 24)  4 Hg 2.64